A plane-wave DFT calculation with PBE was carried out for a relaxed structure of Li14GaSn.

```
Li14GaSn
1.0
-0.067 6.223 2.778
-3.392 2.379 -5.411
-5.460 -1.327 2.839
Li Sn Ga
14 1 1
direct
0.631 0.631 0.730
0.375 0.375 0.000
0.875 0.875 0.000
0.119 0.119 0.730
0.118 0.632 0.270
0.631 0.631 0.270
0.375 0.875 0.500
0.375 0.875 0.000
0.118 0.632 0.730
0.632 0.118 0.730
0.875 0.375 0.500
0.119 0.119 0.270
0.875 0.375 0.000
0.632 0.118 0.270
0.375 0.375 0.500
0.875 0.875 0.500
```

Values from the calculation:
D(E_F)	4.71	states/eV/cell
E_form	-0.14	eV per atom
VASP energy	-0.166	Ry per atom
theoretical density	1.62	g/cm3



A plane-wave DFT calculation with PBE was carried out for a relaxed structure of ZrTaSi.

```
ZrTaSi
1.0
3.868 0.000 0.000
0.000 10.055 0.000
0.000 0.000 5.640
Si Ta Zr
4 4 4
direct
0.500 0.888 0.750
0.500 0.112 0.250
0.000 0.612 0.250
0.000 0.388 0.750
0.000 0.000 0.500
0.000 0.000 0.000
0.500 0.500 0.000
0.500 0.500 0.500
0.500 0.807 0.250
0.000 0.307 0.250
0.000 0.693 0.750
0.500 0.193 0.750
```

Values from the calculation:
D(E_F)	9.06	states/eV/cell
E_form (uncorrected)	-56	kJ/mol of atoms
VASP energy	-0.675	Ry per atom
theoretical density	9.09	g/cm3



A plane-wave DFT calculation with PBE was carried out for a relaxed structure of Li3NpBi2Se6.

```
Li3NpBi2Se6
1.0
7.184 -0.006 0.006
-3.595 6.220 0.006
-1.193 -2.066 6.586
Bi Li Se Np
2 3 6 1
direct
0.335 0.665 0.000
0.665 0.335 0.000
0.821 0.179 0.500
0.500 0.500 0.500
0.179 0.821 0.500
0.087 0.416 0.262
0.416 0.087 0.262
0.757 0.757 0.263
0.913 0.584 0.738
0.584 0.913 0.738
0.243 0.243 0.737
0.000 0.000 0.000
```

Values from the calculation:
D(E_F)	6.84	states/eV/cell
E_form (uncorrected)	-84	kJ/mol of atoms
VASP energy	-0.354	Ry per atom
theoretical density	6.49	g/cm3



A plane-wave DFT calculation with PBE was carried out for a relaxed structure of Mg3TiIr.

```
Mg3TiIr
1.0
4.937 0.000 0.000
0.000 4.937 0.000
0.000 0.000 4.937
Mg Ti Ir
3 1 1
direct
0.000 0.000 0.500
0.000 0.500 0.000
0.500 0.000 0.000
0.000 0.000 0.000
0.500 0.500 0.500
```

Values from the calculation:
D(E_F)	5.37	states/eV/cell
E_form	1.63	eV per atom
VASP energy	-0.197	Ry per atom
theoretical density	4.32	g/cm3



A plane-wave DFT calculation with PBE was carried out for a relaxed structure of Li8Pd5Pb.

```
Li8Pd5Pb
1.0
6.532 -0.099 0.170
-2.303 6.113 -0.170
-1.926 -3.140 5.398
Li Pd Pb
8 5 1
direct
0.074 0.743 0.473
0.622 0.951 0.866
0.730 0.257 0.331
0.914 0.049 0.671
0.669 0.400 0.926
0.329 0.243 0.378
0.527 0.600 0.270
0.134 0.757 0.086
0.065 0.357 0.136
0.779 0.643 0.708
0.292 0.072 0.935
0.500 0.000 0.500
0.864 0.928 0.221
0.250 0.500 0.750
```

Values from the calculation:
D(E_F)	4.45	states/eV/cell
E_form	-0.26	eV per atom
VASP energy	-0.255	Ry per atom
theoretical density	6.17	g/cm3



A plane-wave DFT calculation with PBE was carried out for a relaxed structure of PmAlIrRh.

```
PmAlIrRh
1.0
-3.096 2.573 -2.340
-3.721 -2.023 -1.935
-4.239 0.733 1.782
Rh Pm Ir Al
1 1 1 1
direct
0.250 0.250 0.250
0.000 0.000 0.000
0.750 0.750 0.750
0.500 0.500 0.500
```

Values from the calculation:
D(E_F)	1.38	states/eV/cell
E_form	-0.63	eV per atom
VASP energy	-0.500	Ry per atom
theoretical density	10.87	g/cm3



A plane-wave DFT calculation with PBE was carried out for a relaxed structure of CaMg2Si2Pt.

```
CaMg2Si2Pt
1.0
5.163 0.000 0.000
0.000 5.163 0.000
-2.581 -2.581 5.376
Mg Si Ca Pt
2 2 1 1
direct
0.750 0.250 0.500
0.250 0.750 0.500
0.214 0.214 0.427
0.786 0.786 0.573
0.500 0.500 0.000
0.000 0.000 0.000
```

Values from the calculation:
D(E_F)	2.91	states/eV/cell
E_form (uncorrected)	-10	kJ/mol of atoms
VASP energy	-0.278	Ry per atom
theoretical density	3.94	g/cm3



A plane-wave DFT calculation with PBE was carried out for a relaxed structure of Ho2GeBr.

```
Ho2GeBr
1.0
4.183 0.000 0.000
2.092 3.623 0.000
2.092 1.208 6.903
Br Ho Ge
1 2 1
direct
0.500 0.500 0.500
0.736 0.736 0.791
0.264 0.264 0.209
0.000 0.000 0.000
```

Values from the calculation:
D(E_F)	1.94	states/eV/cell
E_form (uncorrected)	-101	kJ/mol of atoms
VASP energy	-0.361	Ry per atom
theoretical density	7.66	g/cm3



A plane-wave DFT calculation with PBE was carried out for a relaxed structure of Ni2AgW2.

```
Ni2AgW2
1.0
-3.796 -6.214 0.260
5.994 -3.574 2.095
-0.619 0.487 2.603
Ni W Ag
4 4 2
direct
0.879 0.621 0.000
0.379 0.879 0.000
0.121 0.379 0.000
0.621 0.121 0.000
0.171 0.671 0.500
0.829 0.329 0.500
0.671 0.829 0.500
0.329 0.171 0.500
0.000 0.000 0.000
0.500 0.500 0.000
```

Values from the calculation:
D(E_F)	6.94	states/eV/cell
E_form	0.32	eV per atom
VASP energy	-0.569	Ry per atom
theoretical density	13.64	g/cm3



A plane-wave DFT calculation with PBE was carried out for a relaxed structure of GdNpRh2.

```
GdNpRh2
1.0
4.854 0.000 0.000
2.427 4.204 0.000
2.427 1.401 3.963
Rh Np Gd
2 1 1
direct
0.750 0.750 0.750
0.250 0.250 0.250
0.500 0.500 0.500
0.000 0.000 0.000
```

Values from the calculation:
D(E_F)	6.78	states/eV/cell
E_form	-0.46	eV per atom
VASP energy	-0.801	Ry per atom
theoretical density	12.32	g/cm3



A plane-wave DFT calculation with PBE was carried out for a relaxed structure of YLuRuPb.

```
YLuRuPb
1.0
-4.893 1.061 -0.816
-2.417 -2.059 -3.957
-3.530 -3.564 0.759
Y Lu Pb Ru
1 1 1 1
direct
0.000 0.000 0.000
0.500 0.500 0.500
0.750 0.750 0.750
0.250 0.250 0.250
```

Values from the calculation:
D(E_F)	2.12	states/eV/cell
E_form	-0.28	eV per atom
VASP energy	-0.461	Ry per atom
theoretical density	10.29	g/cm3



A plane-wave DFT calculation with PBE was carried out for a relaxed structure of La2BeGa2O7.

```
La2BeGa2O7
1.0
-2.113 -2.321 -7.176
7.353 1.026 -2.497
1.136 -5.010 1.286
Be O Ga La
2 14 4 4
direct
0.000 0.000 0.000
0.500 0.500 0.000
0.500 0.000 0.809
0.408 0.355 0.811
0.365 0.135 0.317
0.865 0.365 0.683
0.135 0.635 0.683
0.635 0.865 0.317
0.000 0.500 0.191
0.855 0.908 0.811
0.908 0.145 0.189
0.145 0.092 0.811
0.645 0.408 0.189
0.592 0.645 0.811
0.092 0.855 0.189
0.355 0.592 0.189
0.151 0.651 0.029
0.349 0.151 0.971
0.651 0.849 0.971
0.849 0.349 0.029
0.667 0.167 0.483
0.833 0.667 0.517
0.167 0.333 0.517
0.333 0.833 0.483
```

Values from the calculation:
D(E_F)	0.00	states/eV/cell
E_form (uncorrected)	-259	kJ/mol of atoms
VASP energy	-0.530	Ry per atom
theoretical density	5.50	g/cm3



Q: Which formula does entry 6 have?
A: PmAlIrRh



Please write out number 4 again, unchanged.
A plane-wave DFT calculation with PBE was carried out for a relaxed structure of Mg3TiIr.

```
Mg3TiIr
1.0
4.937 0.000 0.000
0.000 4.937 0.000
0.000 0.000 4.937
Mg Ti Ir
3 1 1
direct
0.000 0.000 0.500
0.000 0.500 0.000
0.500 0.000 0.000
0.000 0.000 0.000
0.500 0.500 0.500
```

Values from the calculation:
D(E_F)	5.37	states/eV/cell
E_form	1.63	eV per atom
VASP energy	-0.197	Ry per atom
theoretical density	4.32	g/cm3